Computed, not measured: an optimized crystal structure of Pm2GaBr at the PBE level of DFT.

Summary:
The value obtained for the energy relative to the lowest polymorph listed for this composition is 0.000 eV/f.u. As for the density of states at the Fermi level: 0.493 states/eV per atom. The value obtained for the raw formation energy is -0.89 eV/atom.

CIF file:
```
data_Pm2GaBr
_cell_length_a 4.2791
_cell_length_b 4.2791
_cell_length_c 21.4047
_cell_angle_alpha 90.00
_cell_angle_beta 90.00
_cell_angle_gamma 120.00
_space_group_name_H-M_alt 'R -3 m'
_space_group_IT_number 166
_space_group_name_Hall '-R 3 2"'
loop_
_atom_site_label
_atom_site_fract_x
_atom_site_fract_y
_atom_site_fract_z
_atom_site_occupancy
Pm1 0.0000 0.0000 0.2423 1
Ga1 0.0000 0.0000 0.5000 1
Br1 0.0000 0.0000 0.0000 1
```


Computed, not measured: an optimized crystal structure of PmGa2Br8 at the PBE level of DFT.

Summary:
As for the density of states at the Fermi level: 0.419 states/eV per atom. The value obtained for the raw formation energy is -1.07 eV/atom.

CIF file:
```
data_PmGa2Br8
_cell_length_a 13.7220
_cell_length_b 9.4999
_cell_length_c 6.9161
_cell_angle_alpha 90.00
_cell_angle_beta 99.15
_cell_angle_gamma 90.00
_space_group_name_H-M_alt 'C 1 2/m 1'
_space_group_IT_number 12
loop_
_space_group_symop_operation_xyz
'x,y,z'
'-x,-y,-z'
'-x,y,-z'
'x,-y,z'
'x+1/2,y+1/2,z'
'-x+1/2,-y+1/2,-z'
'-x+1/2,y+1/2,-z'
'x+1/2,-y+1/2,z'
loop_
_atom_site_label
_atom_site_fract_x
_atom_site_fract_y
_atom_site_fract_z
_atom_site_occupancy
Pm1 0.0000 0.0000 0.0000 1
Ga1 0.1942 0.0000 0.6527 1
Br1 0.0973 0.1960 0.7701 1
Br2 0.1380 0.5000 0.2116 1
Br3 0.1810 0.0000 0.2854 1
```